Entry 1:
K5Br2F3: relaxed, GGA-PBE.

Values from the calculation:
DOS(E_F), states/eV per cell: 0.0
Raw formation energy, eV/atom: -2.279

POSCAR file:
```
K5Br2F3
1.0
0.237 4.835 5.407
-6.685 -3.345 8.155
10.563 2.258 2.389
K F Br
10 6 4
Direct
0.108 0.808 0.976
0.250 0.500 0.500
0.892 0.192 0.024
0.750 0.312 0.688
0.250 0.688 0.312
0.250 0.312 0.688
0.392 0.024 0.192
0.750 0.688 0.312
0.608 0.976 0.808
0.750 0.500 0.500
0.588 0.502 0.322
0.750 0.000 0.000
0.912 0.678 0.498
0.412 0.498 0.678
0.250 0.000 0.000
0.088 0.322 0.502
0.181 0.010 0.628
0.819 0.990 0.372
0.681 0.628 0.010
0.319 0.372 0.990
```


Entry 2:
K4Br3F: relaxed, GGA-PBE.

Values from the calculation:
DOS(E_F), states/eV per cell: 0.0
Raw formation energy, eV/atom: -1.923

POSCAR file:
```
K4Br3F
1.0
-0.775 -4.342 -4.930
1.398 -6.872 5.832
-10.545 -0.423 2.030
Br K F
6 8 2
Direct
0.060 0.671 0.763
0.060 0.671 0.237
0.560 0.329 0.737
0.060 0.154 0.500
0.560 0.846 0.000
0.560 0.329 0.263
0.564 0.109 0.500
0.065 0.313 0.219
0.625 0.188 0.000
0.064 0.891 0.000
0.125 0.812 0.500
0.565 0.687 0.281
0.065 0.313 0.781
0.565 0.687 0.719
0.016 0.180 0.000
0.516 0.820 0.500
```


Entry 3:
KBr2F: relaxed, GGA-PBE.

Values from the calculation:
DOS(E_F), states/eV per cell: 0.0
Raw formation energy, eV/atom: -0.967

POSCAR file:
```
KBr2F
1.0
3.110 0.000 6.834
-1.555 2.694 6.834
-1.555 -2.694 6.834
F Br K
1 2 1
Direct
0.000 0.000 0.000
0.105 0.105 0.105
0.895 0.895 0.895
0.500 0.500 0.500
```


Entry 4:
KBrF6: relaxed, GGA-PBE.

Values from the calculation:
DOS(E_F), states/eV per cell: 0.0
Raw formation energy, eV/atom: -1.526

POSCAR file:
```
KBrF6
1.0
13.502 -2.738 -4.601
-4.450 4.054 -0.266
-3.345 0.725 4.959
F Br K
6 1 1
Direct
0.336 0.529 0.529
0.121 0.830 0.257
0.879 0.170 0.743
0.879 0.743 0.170
0.121 0.257 0.830
0.664 0.471 0.471
0.000 0.000 0.000
0.500 0.000 0.000
```


Entry 5:
KBr2F: relaxed, GGA-PBE.

Values from the calculation:
DOS(E_F), states/eV per cell: 3.4
Raw formation energy, eV/atom: -0.737

POSCAR file:
```
KBr2F
1.0
2.934 0.000 5.523
-1.467 2.541 5.523
-1.467 -2.541 5.523
F K Br
1 1 2
Direct
0.500 0.500 0.500
0.000 0.000 0.000
0.183 0.183 0.183
0.817 0.817 0.817
```


Entry 6:
K3BrF2: relaxed, GGA-PBE.

Values from the calculation:
DOS(E_F), states/eV per cell: 0.0
Raw formation energy, eV/atom: -2.293

POSCAR file:
```
K3BrF2
1.0
-5.829 3.055 3.264
-4.060 -4.949 -2.618
-1.051 -5.825 3.575
F K Br
4 6 2
Direct
0.000 0.833 0.833
0.500 0.167 0.167
0.500 0.833 0.833
0.000 0.167 0.167
0.250 0.019 0.981
0.750 0.981 0.019
0.250 0.498 0.026
0.250 0.974 0.502
0.750 0.026 0.498
0.750 0.502 0.974
0.250 0.492 0.508
0.750 0.508 0.492
```


Entry 7:
K2BrF: relaxed, GGA-PBE.

Values from the calculation:
DOS(E_F), states/eV per cell: 0.0
Raw formation energy, eV/atom: -2.168

POSCAR file:
```
K2BrF
1.0
7.545 0.000 0.000
0.000 7.545 0.000
3.772 3.772 4.437
K Br F
4 2 2
Direct
0.375 0.449 0.750
0.875 0.801 0.750
0.551 0.125 0.250
0.199 0.625 0.250
0.000 0.000 0.000
0.750 0.250 0.500
0.500 0.500 0.000
0.250 0.750 0.500
```


Entry 8:
KBr2F: relaxed, GGA-PBE.

Values from the calculation:
DOS(E_F), states/eV per cell: 7.7
Raw formation energy, eV/atom: -0.627

POSCAR file:
```
KBr2F
1.0
3.424 -4.022 -0.932
-1.540 -5.074 0.807
-0.774 -3.265 -4.184
Br K F
2 1 1
Direct
0.250 0.250 0.250
0.750 0.750 0.750
0.500 0.500 0.500
0.000 0.000 0.000
```


Entry 9:
KBrF3: relaxed, GGA-PBE.

Values from the calculation:
DOS(E_F), states/eV per cell: 1.4
Raw formation energy, eV/atom: -1.343

POSCAR file:
```
KBrF3
1.0
-2.342 -2.193 -3.267
0.516 -3.941 2.276
-3.902 0.796 2.262
F Br K
3 1 1
Direct
0.000 0.000 0.500
0.000 0.500 0.000
0.500 0.000 0.000
0.000 0.000 0.000
0.500 0.500 0.500
```


Entry 10:
KLiBrF: relaxed, GGA-PBE.

Values from the calculation:
DOS(E_F), states/eV per cell: 0.0
Raw formation energy, eV/atom: -2.144

POSCAR file:
```
KLiBrF
1.0
-1.773 4.340 -0.912
-1.810 -2.619 3.560
2.684 1.636 2.568
Br Li F K
1 1 1 1
Direct
0.333 0.667 0.000
0.667 0.333 0.000
0.667 0.333 0.500
0.000 0.000 0.500
```


Entry 11:
KLiBrF: relaxed, GGA-PBE.

Values from the calculation:
DOS(E_F), states/eV per cell: 0.0
Raw formation energy, eV/atom: -2.212

POSCAR file:
```
KLiBrF
1.0
-4.163 -0.355 -0.133
2.410 -3.134 -1.359
0.027 -2.486 5.784
F K Li Br
1 1 1 1
Direct
0.333 0.667 0.951
0.667 0.333 0.797
0.333 0.667 0.237
0.000 0.000 0.399
```


Entry 12:
KLiBrF: relaxed, GGA-PBE.

Values from the calculation:
DOS(E_F), states/eV per cell: 0.0
Raw formation energy, eV/atom: -2.210

POSCAR file:
```
KLiBrF
1.0
4.172 0.000 0.000
-2.086 3.613 0.000
0.000 0.000 19.158
K Br F Li
3 3 3 3
Direct
0.333 0.667 0.037
0.667 0.333 0.704
0.000 0.000 0.370
0.667 0.333 0.901
0.333 0.667 0.235
0.000 0.000 0.568
0.667 0.333 0.420
0.333 0.667 0.753
0.000 0.000 0.087
0.667 0.333 0.514
0.000 0.000 0.180
0.333 0.667 0.847
```


no.,E_tot (eV/atom)
1,-3.724
2,-3.333
3,-2.545
4,-3.276
5,-2.316
6,-3.744
7,-3.603
8,-2.206
9,-3.020
10,-3.783
11,-3.851
12,-3.849